Crystalline BPdPt4 at its relaxed geometry. Source: the Alexandria database, functional PBE.

Calculated values
- distance to the lowest polymorph of the same formula (eV per atom) = 0.1848
- DFT formation energy (kJ/mol of atoms) = 4.3
- D(E_F) (states/eV/atom) = 0.9976
- raw total energy (eV per atom) = -5.961
- space-group type = Pm

Cell lengths 3.4198, 4.2932, 6.6338 Å; angles 80.45, 90.02, 90.00 degrees
Atoms (fractional coordinates):
Pt  0.5014  0.9291  0.2946
Pd  0.5013  0.4967  0.9980
Pt  0.0015  0.4348  0.3053
B  0.0013  0.9980  0.4984
Pt  0.0011  0.5598  0.6904
Pt  0.5012  0.0652  0.7021